A geometry-optimized HfIO2 structure, computed with PBE-GGA.

Geometry as extended XYZ:
```
12
Lattice="3.874 0.000 0.000 -1.937 3.355 0.000 0.000 0.000 17.398" Properties=species:S:1:pos:R:3 pbc="T T T"
Hf 0.000 0.000 0.000
Hf 0.000 2.237 11.599
Hf 1.937 1.118 5.799
I 0.000 0.000 8.699
I 0.000 2.237 2.900
I 1.937 1.118 14.498
O 0.000 0.000 2.010
O 0.000 0.000 15.388
O 0.000 2.237 9.588
O 0.000 2.237 13.609
O 1.937 1.118 3.789
O 1.937 1.118 7.810
```

Calculated values
As for the volume: 226.1 Å³/cell. The symmetry is R-3m. The uncorrected formation energy comes out at -0.7 eV per formula unit.